{
  "formula": "AlCoCl2",
  "functional": "PBE-GGA",
  "state": "relaxed",
  "lattice": [[-2.721, 3.686, -1.129], [-4.608, -0.070, 1.015], [-1.711, 2.797, 3.394]],
  "species": ["Cl", "Cl", "Al", "Co"],
  "frac_coords": [[0.250, 0.250, 0.250], [0.000, 0.000, 0.000], [0.500, 0.500, 0.500], [0.750, 0.750, 0.750]],
  "formation_energy_uncorrected_ev_per_atom": 0.482,
  "relative_energy_ev_per_atom": 1.042,
  "energy_ev_per_atom": -3.153,
  "dos_ef_per_ev_cell": 4.40,
  "volume_a3_per_cell": 74.29,
  "magmom_total_mub_per_fu": 2.02
}